Below is a geometry-optimized Zr2BeC structure, with properties calculated at the PBE level.

a = 3.4667 Å, b = 3.3834 Å, c = 10.2180 Å
α = 99.53°, β = 90.00°, γ = 90.00°
With the nearest neighbours (Å) after each atom.
Fractional positions:
Be (0.2500, 0.4700, 0.9400)  2 Be 2.11
C (0.2500, 0.1913, 0.3827)  6 Zr 2.27-2.42
Zr (0.7500, 0.6947, 0.3893)  5 C 2.30-2.42
Zr (0.2500, 0.0788, 0.1577)  1 C 2.27
Zr (0.2500, 0.3053, 0.6107)  5 C 2.30-2.42
Be (0.7500, 0.5300, 0.0600)  2 Be 2.11
C (0.7500, 0.8087, 0.6173)  6 Zr 2.27-2.42
Zr (0.7500, 0.9212, 0.8423)  1 C 2.27

The energy relative to the lowest polymorph listed for this composition comes out at 0.00 kcal/mol of atoms. The calculated formation energy comes out at -0.45 eV/atom.